No. 1
HgSbPbAu | PBE | relaxed

Cell: 7.772 4.542 7.127 Å, 90.00 111.81 90.00°
Space group Cm (No. 8)
One atom of each set of equivalent atoms:
Hg 0.000 0.000 0.000 x2
Sb 0.272 0.500 0.314 x2
Pb 0.225 0.000 0.676 x2
Au 0.483 0.000 0.450 x2

Output
The density of states at the Fermi level comes out at 2.8 states/eV per cell. The final energy is -0.1065 Ha/atom.



No. 2
Sc2HgPbAu | PBE | relaxed

Cell: 5.214 5.214 5.195 Å, 90.00 90.00 90.00°
Space group P4/mmm (No. 123)
One atom of each set of equivalent atoms:
Sc 0.000 0.500 0.000 x2
Hg 0.000 0.000 0.500 x1
Pb 0.500 0.500 0.500 x1
Au 0.000 0.000 0.000 x1

Output
The density of states at the Fermi level comes out at 5.2 states/eV per cell. For the formation energy, the calculation gives 0.022 eV per atom.